# 1
VASP calculation (PBE) on an optimized crystal structure of TaRhC2.

a = 3.896 Å, b = 3.896 Å, c = 3.896 Å
α = 60.00°, β = 60.00°, γ = 60.00°
Fractional coordinates of all 4 atoms:
Ta  0.000  0.000  0.000
Rh  0.500  0.500  0.500
C  0.250  0.250  0.250
C  0.750  0.750  0.750

## Properties
* E_form: 869 meV/atom
* M_tot: 0.000 μB per formula unit
* energy above the most stable polymorph in this dataset: 1.89 eV per formula unit

=====

# 2
VASP calculation (PBE) on an optimized crystal structure of TaRh2C.

a = 4.277 Å, b = 4.277 Å, c = 4.277 Å
α = 60.00°, β = 60.00°, γ = 60.00°
Fractional coordinates of all 4 atoms:
Ta  0.000  0.000  0.000
Rh  0.250  0.250  0.250
Rh  0.750  0.750  0.750
C  0.500  0.500  0.500

## Properties
* E_form: 888 meV/atom
* M_tot: 0.603 μB per formula unit
* energy above the most stable polymorph in this dataset: 1.98 eV per formula unit

=====

# 3
VASP calculation (PBE) on an optimized crystal structure of TbRh3C.

a = 4.190 Å, b = 4.190 Å, c = 4.190 Å
α = 90.00°, β = 90.00°, γ = 90.00°
Fractional coordinates of all 5 atoms:
Tb  0.000  0.000  0.000
Rh  0.000  0.500  0.500
Rh  0.500  0.000  0.500
Rh  0.500  0.500  0.000
C  0.500  0.500  0.500

## Properties
* E_form: -502 meV/atom
* M_tot: 0.000 μB per formula unit

=====

# 4
VASP calculation (PBE) on an optimized crystal structure of Tb2Rh6C.

a = 5.817 Å, b = 5.817 Å, c = 5.817 Å
α = 60.00°, β = 60.00°, γ = 60.00°
Fractional coordinates of all 9 atoms:
Tb  0.250  0.250  0.250
Tb  0.750  0.750  0.750
Rh  0.247  0.247  0.753
Rh  0.247  0.753  0.247
Rh  0.247  0.753  0.753
Rh  0.753  0.247  0.247
Rh  0.753  0.247  0.753
Rh  0.753  0.753  0.247
C  0.500  0.500  0.500

## Properties
* E_form: -579 meV/atom
* M_tot: 0.000 μB per formula unit

=====

# 5
VASP calculation (PBE) on an optimized crystal structure of TbRh6C.

a = 5.773 Å, b = 5.773 Å, c = 5.773 Å
α = 57.28°, β = 57.28°, γ = 57.28°
Fractional coordinates of all 8 atoms:
Tb  0.000  0.000  0.000
Rh  0.073  0.595  0.595
Rh  0.405  0.405  0.927
Rh  0.405  0.927  0.405
Rh  0.595  0.073  0.595
Rh  0.595  0.595  0.073
Rh  0.927  0.405  0.405
C  0.500  0.500  0.500

## Properties
* E_form: -98 meV/atom
* M_tot: 0.000 μB per formula unit

=====

# 6
VASP calculation (PBE) on an optimized crystal structure of TbRhC.

a = 4.469 Å, b = 3.805 Å, c = 6.076 Å
α = 90.00°, β = 111.41°, γ = 90.00°
Fractional coordinates of all 6 atoms:
Tb  0.148  0.000  0.296
Tb  0.852  0.000  0.704
Rh  0.361  0.500  0.721
Rh  0.639  0.500  0.279
C  0.155  0.500  0.000
C  0.845  0.500  0.000

## Properties
* E_form: -267 meV/atom
* M_tot: 0.000 μB per formula unit
* energy above the most stable polymorph in this dataset: 0.00 eV per formula unit

=====

# 7
VASP calculation (PBE) on an optimized crystal structure of Tb2RhC.

a = 7.275 Å, b = 7.275 Å, c = 7.275 Å
α = 28.28°, β = 28.28°, γ = 28.28°
Fractional coordinates of all 4 atoms:
Tb  0.234  0.234  0.234
Tb  0.766  0.766  0.766
Rh  0.000  0.000  0.000
C  0.500  0.500  0.500

## Properties
* E_form: -340 meV/atom
* M_tot: 0.000 μB per formula unit

=====

# 8
VASP calculation (PBE) on an optimized crystal structure of Tb6Rh2C.

a = 6.535 Å, b = 7.131 Å, c = 11.394 Å
α = 90.00°, β = 123.61°, γ = 90.00°
Fractional coordinates of all 18 atoms:
Tb  0.122  0.043  0.244
Tb  0.122  0.457  0.744
Tb  0.234  0.696  0.063
Tb  0.234  0.804  0.563
Tb  0.369  0.173  0.059
Tb  0.369  0.327  0.559
Tb  0.631  0.673  0.441
Tb  0.631  0.827  0.941
Tb  0.766  0.196  0.437
Tb  0.766  0.304  0.937
Tb  0.878  0.543  0.256
Tb  0.878  0.957  0.756
Rh  0.292  0.095  0.755
Rh  0.292  0.405  0.255
Rh  0.708  0.595  0.745
Rh  0.708  0.905  0.245
C  0.000  0.000  0.000
C  0.000  0.500  0.500

## Properties
* E_form: -506 meV/atom
* M_tot: 0.000 μB per formula unit

=====

# 9
VASP calculation (PBE) on an optimized crystal structure of TbRhC.

a = 5.580 Å, b = 5.580 Å, c = 5.580 Å
α = 131.32°, β = 131.32°, γ = 71.31°
Fractional coordinates of all 6 atoms:
Tb  0.000  0.000  0.000
Tb  0.750  0.250  0.500
Rh  0.238  0.738  0.500
Rh  0.488  0.488  0.000
C  0.023  0.523  0.500
C  0.273  0.273  0.000

## Properties
* E_form: -86 meV/atom
* M_tot: 0.000 μB per formula unit
* energy above the most stable polymorph in this dataset: 0.54 eV per formula unit

=====

# 10
VASP calculation (PBE) on an optimized crystal structure of TbRhC.

a = 3.350 Å, b = 3.350 Å, c = 4.913 Å
α = 90.00°, β = 90.00°, γ = 120.00°
Fractional coordinates of all 3 atoms:
Tb  0.000  0.000  0.000
Rh  0.667  0.333  0.470
C  0.333  0.667  0.314

## Properties
* E_form: -221 meV/atom
* M_tot: 0.000 μB per formula unit
* energy above the most stable polymorph in this dataset: 0.14 eV per formula unit

=====

# 11
VASP calculation (PBE) on an optimized crystal structure of Tb4Rh2C.

a = 8.204 Å, b = 8.204 Å, c = 8.204 Å
α = 146.28°, β = 146.28°, γ = 48.42°
Fractional coordinates of all 7 atoms:
Tb  0.000  0.500  0.500
Tb  0.189  0.189  0.000
Tb  0.500  0.000  0.500
Tb  0.811  0.811  0.000
Rh  0.365  0.365  0.000
Rh  0.635  0.635  0.000
C  0.500  0.500  0.000

## Properties
* E_form: -201 meV/atom
* M_tot: 0.000 μB per formula unit

=====

# 12
VASP calculation (PBE) on an optimized crystal structure of Tb2Rh4C.

a = 7.707 Å, b = 7.707 Å, c = 7.707 Å
α = 148.89°, β = 148.89°, γ = 44.58°
Fractional coordinates of all 7 atoms:
Tb  0.157  0.157  0.000
Tb  0.843  0.843  0.000
Rh  0.000  0.500  0.500
Rh  0.357  0.357  0.000
Rh  0.500  0.000  0.500
Rh  0.643  0.643  0.000
C  0.500  0.500  0.000

## Properties
* E_form: -437 meV/atom
* M_tot: 0.000 μB per formula unit

=====

Sequential electronic total energy output: -8.54; -8.06; -7.68; -7.53; -7.34; -7.34; -6.80; -6.25; -7.15; -7.29; -6.27; -7.28 eV/atom